No. 1
YLuTc4 PBE-GGA relaxed; SG = F-43m; formation energy from the elements = -0.18 eV/atom; VASP energy = -8.924 eV per atom
1.0
0.000 3.805 3.805
3.805 0.000 3.805
3.805 3.805 0.000
Y Lu Tc
1 1 4
direct
0.000 0.000 0.000 Y
0.750 0.750 0.750 Lu
0.375 0.375 0.375 Tc
0.375 0.375 0.875 Tc
0.375 0.875 0.375 Tc
0.875 0.375 0.375 Tc


No. 2
Y2LuTc PBE-GGA relaxed; SG = R-3m; energy above the lowest structure with this stoichiometry = 0.252 eV/atom; formation energy from the elements = 0.31 eV/atom; VASP energy = -6.642 eV per atom
1.0
3.422 0.000 0.000
-1.711 2.963 0.000
0.000 0.000 32.273
Y Lu Tc
6 3 3
direct
0.000 0.000 0.103 Y
0.000 0.000 0.897 Y
0.333 0.667 0.563 Y
0.333 0.667 0.770 Y
0.667 0.333 0.230 Y
0.667 0.333 0.437 Y
0.000 0.000 0.000 Lu
0.333 0.667 0.667 Lu
0.667 0.333 0.333 Lu
0.000 0.000 0.500 Tc
0.333 0.667 0.167 Tc
0.667 0.333 0.833 Tc


No. 3
Y2LuTc PBE-GGA relaxed; SG = P4/mmm; energy above the lowest structure with this stoichiometry = 0.000 eV/atom; formation energy from the elements = 0.06 eV/atom; VASP energy = -6.894 eV per atom
1.0
3.480 0.000 0.000
0.000 3.480 0.000
0.000 0.000 8.654
Y Lu Tc
2 1 1
direct
0.000 0.000 0.190 Y
0.000 0.000 0.810 Y
0.500 0.500 0.500 Lu
0.500 0.500 0.000 Tc


No. 4
LuZn4Tc PBE-GGA relaxed; SG = F-43m; formation energy from the elements = -0.17 eV/atom; VASP energy = -3.504 eV per atom
1.0
0.000 3.605 3.605
3.605 0.000 3.605
3.605 3.605 0.000
Lu Zn Tc
1 4 1
direct
0.000 0.000 0.000 Lu
0.128 0.624 0.624 Zn
0.624 0.128 0.624 Zn
0.624 0.624 0.128 Zn
0.624 0.624 0.624 Zn
0.250 0.250 0.250 Tc


No. 5
Lu2ZnTc PBE-GGA relaxed; SG = Fm-3m; energy above the lowest structure with this stoichiometry = 0.037 eV/atom; formation energy from the elements = -0.21 eV/atom; VASP energy = -5.380 eV per atom
1.0
6.828 0.000 0.000
0.000 6.828 0.000
0.000 0.000 6.828
Lu Zn Tc
8 4 4
direct
0.250 0.250 0.250 Lu
0.250 0.250 0.750 Lu
0.250 0.750 0.250 Lu
0.250 0.750 0.750 Lu
0.750 0.250 0.250 Lu
0.750 0.250 0.750 Lu
0.750 0.750 0.250 Lu
0.750 0.750 0.750 Lu
0.000 0.000 0.000 Zn
0.000 0.500 0.500 Zn
0.500 0.000 0.500 Zn
0.500 0.500 0.000 Zn
0.000 0.000 0.500 Tc
0.000 0.500 0.000 Tc
0.500 0.000 0.000 Tc
0.500 0.500 0.500 Tc


No. 6
Lu2ZnTc PBE-GGA relaxed; SG = P4/mmm; energy above the lowest structure with this stoichiometry = 0.000 eV/atom; formation energy from the elements = -0.25 eV/atom; VASP energy = -5.418 eV per atom
1.0
3.431 0.000 0.000
0.000 3.431 0.000
0.000 0.000 6.909
Lu Zn Tc
2 1 1
direct
0.000 0.000 0.231 Lu
0.000 0.000 0.769 Lu
0.500 0.500 0.500 Zn
0.500 0.500 0.000 Tc


No. 7
LuZnTc4 PBE-GGA relaxed; SG = F-43m; formation energy from the elements = 0.05 eV/atom; VASP energy = -7.831 eV per atom
1.0
0.000 3.702 3.702
3.702 0.000 3.702
3.702 3.702 0.000
Lu Zn Tc
1 1 4
direct
0.000 0.000 0.000 Lu
0.750 0.750 0.750 Zn
0.376 0.376 0.376 Tc
0.376 0.376 0.873 Tc
0.376 0.873 0.376 Tc
0.873 0.376 0.376 Tc


No. 8
LuZrZnTc PBE-GGA relaxed; SG = F-43m; formation energy from the elements = -0.25 eV/atom; VASP energy = -6.431 eV per atom
1.0
6.736 0.000 0.000
0.000 6.736 0.000
0.000 0.000 6.736
Lu Zr Zn Tc
4 4 4 4
direct
0.000 0.000 0.000 Lu
0.000 0.500 0.500 Lu
0.500 0.000 0.500 Lu
0.500 0.500 0.000 Lu
0.000 0.000 0.500 Zr
0.000 0.500 0.000 Zr
0.500 0.000 0.000 Zr
0.500 0.500 0.500 Zr
0.250 0.250 0.750 Zn
0.250 0.750 0.250 Zn
0.750 0.250 0.250 Zn
0.750 0.750 0.750 Zn
0.250 0.250 0.250 Tc
0.250 0.750 0.750 Tc
0.750 0.250 0.750 Tc
0.750 0.750 0.250 Tc